# 1
The following is a DFT calculation (PBE) of a geometry-optimized KTa2C structure.

Values from the calculation:
Energy of formation from the pure elements: 1.059 eV per atom

Cell: 6.618 6.618 6.620 Å, 60.01 60.01 90.00°
Sites, in units of the cell vectors:
Ta 0.875 0.625 0.750
Ta 0.375 0.125 0.250
Ta 0.375 0.625 0.750
Ta 0.375 0.625 0.250
C 0.250 0.750 0.500
C 0.500 0.500 0.000
K 0.000 0.000 0.000
K 0.750 0.250 0.500

# 2
The following is a DFT calculation (PBE) of a geometry-optimized Ac3InPd3 structure.

Values from the calculation:
Energy of formation from the pure elements: -0.736 eV per atom
ΔE to the lowest computed polymorph: 0.0000 eV/atom

Cell: 4.330 6.655 14.625 Å, 84.53 81.49 71.02°
Sites, in units of the cell vectors:
Ac 0.487 0.648 0.377
Ac 0.270 0.235 0.225
Ac 0.601 0.721 0.076
Ac 0.513 0.352 0.623
Ac 0.399 0.279 0.924
Ac 0.730 0.765 0.775
Pd 0.879 0.699 0.543
Pd 0.033 0.165 0.769
Pd 0.121 0.832 0.926
Pd 0.967 0.835 0.231
Pd 0.879 0.168 0.074
Pd 0.121 0.301 0.457
In 0.763 0.064 0.410
In 0.237 0.936 0.590

# 3
The following is a DFT calculation (PBE) of a geometry-optimized Nd3ErTh4S8 structure.

Values from the calculation:
Formation energy (no corrections): -1.91 eV per atom

Cell: 7.976 8.142 7.975 Å, 119.31 120.00 90.00°
Sites, in units of the cell vectors:
Er 0.000 0.500 0.000
Nd 0.000 0.500 0.500
Nd 0.500 0.500 0.000
Nd 0.500 0.500 0.500
Th 0.000 0.000 0.000
Th 0.000 0.000 0.500
Th 0.500 0.000 0.500
Th 0.500 0.000 0.000
S 0.243 0.743 0.000
S 0.750 0.749 0.499
S 0.757 0.257 0.000
S 0.244 0.257 0.000
S 0.250 0.251 0.501
S 0.243 0.743 0.487
S 0.757 0.257 0.513
S 0.756 0.743 0.000

# 4
The following is a DFT calculation (PBE) of a geometry-optimized Pm6Te3C structure.

Values from the calculation:
Formation energy (no corrections): -0.74 eV per atom

Cell: 7.209 9.492 9.492 Å, 100.72 90.00 90.00°
Sites, in units of the cell vectors:
Te 0.389 0.396 0.604
Te 0.889 0.604 0.396
Te 0.481 0.930 0.733
Te 0.981 0.070 0.267
Te 0.481 0.267 0.070
Te 0.981 0.733 0.930
Pm 0.686 0.300 0.374
Pm 0.721 0.229 0.771
Pm 0.675 0.575 0.107
Pm 0.175 0.107 0.575
Pm 0.686 0.626 0.700
Pm 0.186 0.374 0.300
Pm 0.653 0.949 0.051
Pm 0.153 0.051 0.949
Pm 0.175 0.425 0.893
Pm 0.186 0.700 0.626
Pm 0.675 0.893 0.425
Pm 0.221 0.771 0.229
C 0.540 0.802 0.198
C 0.040 0.198 0.802

# 5
The following is a DFT calculation (PBE) of a geometry-optimized MgBePt4 structure.

Values from the calculation:
Energy of formation from the pure elements: -0.080 eV per atom
ΔE to the lowest computed polymorph: 0.2835 eV/atom

Cell: 5.253 5.253 5.253 Å, 60.00 60.00 60.00°
Sites, in units of the cell vectors:
Mg 0.000 0.000 0.000
Pt 0.375 0.375 0.375
Pt 0.375 0.874 0.375
Pt 0.874 0.375 0.375
Pt 0.375 0.375 0.874
Be 0.750 0.750 0.750

# 6
The following is a DFT calculation (PBE) of a geometry-optimized Ba2ReRu structure.

Values from the calculation:
Energy of formation from the pure elements: 1.466 eV per atom
ΔE to the lowest computed polymorph: 1.1725 eV/atom

Cell: 5.420 5.420 5.420 Å, 60.00 60.00 60.00°
Each line ends with the local moment (μB).
Sites, in units of the cell vectors:
Ru 0.000 0.000 0.000  1.23
Ba 0.250 0.250 0.250  -0.02
Ba 0.750 0.750 0.750  -0.02
Re 0.500 0.500 0.500  2.28

# 7
The following is a DFT calculation (PBE) of a geometry-optimized CaAuIO2 structure.

Values from the calculation:
ΔE to the lowest computed polymorph: 0.0247 eV/atom
Formation energy (no corrections): -0.37 eV per atom

Cell: 4.292 7.710 4.292 Å, 90.00 90.00 90.00°
Each line ends with the local moment (μB).
Sites, in units of the cell vectors:
O 0.500 0.000 0.000  0.67
O 0.000 0.000 0.500  0.93
I 0.500 0.500 0.500  0.00
Ca 0.000 0.000 0.000  -0.01
Au 0.000 0.500 0.000  0.00

# 8
The following is a DFT calculation (PBE) of a geometry-optimized Al2HSe structure.

Values from the calculation:
ΔE to the lowest computed polymorph: 0.0000 eV/atom

Cell: 5.391 5.391 6.076 Å, 63.66 63.66 90.00°
Sites, in units of the cell vectors:
Se 0.750 0.250 0.500
Se 0.000 0.000 0.000
Al 0.220 0.625 0.250
Al 0.375 0.470 0.750
Al 0.530 0.125 0.250
Al 0.875 0.780 0.750
H 0.500 0.500 0.000
H 0.250 0.750 0.500

# 9
The following is a DFT calculation (PBE) of a geometry-optimized MnBiIr structure.

Values from the calculation:
Energy of formation from the pure elements: 0.300 eV per atom

Cell: 3.894 3.842 9.951 Å, 93.54 90.00 120.45°
Sites, in units of the cell vectors:
Ir 0.064 0.128 0.840
Ir 0.936 0.872 0.160
Mn 0.761 0.522 0.941
Mn 0.239 0.478 0.059
Bi 0.684 0.368 0.656
Bi 0.316 0.632 0.344

# 10
The following is a DFT calculation (PBE) of a geometry-optimized SrPt2 structure.

Values from the calculation:
Energy of formation from the pure elements: -0.221 eV per atom

Cell: 8.089 8.089 4.681 Å, 90.00 90.00 120.00°
Sites, in units of the cell vectors:
Pt 0.000 0.268 0.000
Pt 0.378 0.000 0.500
Pt 0.268 0.000 0.000
Pt 0.732 0.732 0.000
Pt 0.000 0.378 0.500
Pt 0.622 0.622 0.500
Sr 0.000 0.000 0.500
Sr 0.667 0.333 0.000
Sr 0.333 0.667 0.000

# 11
The following is a DFT calculation (PBE) of a geometry-optimized SrErIn2 structure.

Values from the calculation:
Energy of formation from the pure elements: -0.434 eV per atom

Cell: 3.874 3.874 7.881 Å, 90.00 90.00 90.00°
Sites, in units of the cell vectors:
In 0.000 0.000 0.779
In 0.000 0.000 0.221
Sr 0.500 0.500 0.500
Er 0.500 0.500 0.000

# 12
The following is a DFT calculation (PBE) of a geometry-optimized Tl3SeBr6 structure.

Values from the calculation:
Formation energy (no corrections): -0.47 eV per atom

Cell: 8.001 10.359 10.359 Å, 88.16 90.00 90.00°
Each line ends with the local moment (μB).
Sites, in units of the cell vectors:
Br 0.229 0.402 0.308  0.01
Br 0.528 0.967 0.033  0.02
Br 0.204 0.113 0.627  0.15
Br 0.204 0.373 0.887  0.15
Br 0.650 0.182 0.818  0.03
Br 0.150 0.818 0.182  0.03
Br 0.028 0.033 0.967  0.02
Br 0.704 0.627 0.113  0.15
Br 0.729 0.598 0.692  0.01
Br 0.729 0.308 0.402  0.01
Br 0.704 0.887 0.373  0.15
Br 0.229 0.692 0.598  0.01
Tl 0.921 0.592 0.408  0.00
Tl 0.529 0.862 0.653  0.01
Tl 0.421 0.408 0.592  0.00
Tl 0.029 0.653 0.862  0.01
Tl 0.529 0.347 0.138  0.01
Tl 0.029 0.138 0.347  0.01
Se 0.961 0.191 0.809  0.34
Se 0.461 0.809 0.191  0.34